Below is a relaxed BePAuO crystal, with properties calculated at the PBE level.

```
data_BePAuO
_symmetry_space_group_name_H-M 'P 1'
_symmetry_Int_Tables_number 1
_symmetry_space_group_name_Hall 'P 1'
_cell_length_a 3.852
_cell_length_b 3.852
_cell_length_c 7.554
_cell_angle_alpha 90.00
_cell_angle_beta 90.00
_cell_angle_gamma 90.00
loop_
_atom_site_label
_atom_site_type_symbol
_atom_site_fract_x
_atom_site_fract_y
_atom_site_fract_z
_atom_site_occupancy
O1 O 0.750 0.250 0.000 1
O2 O 0.250 0.750 0.000 1
Au1 Au 0.750 0.750 0.865 1
Au2 Au 0.250 0.250 0.135 1
Be1 Be 0.250 0.750 0.500 1
Be2 Be 0.750 0.250 0.500 1
P1 P 0.750 0.750 0.349 1
P2 P 0.250 0.250 0.651 1
```

Output
As for the space group: No. 129. The energy comes out at -31.6 eV per cell. The calculated volume comes out at 112.1 Å³/cell. The energy above the most stable polymorph in this dataset is 4.48 eV/f.u.